No. 1
Computed, not measured: a relaxed structure of LaHoZnRh at the PBE-GGA level of DFT.

```
data_LaHoZnRh
_chemical_formula_sum 'La4 Ho4 Zn4 Rh4'
_symmetry_space_group_name_H-M 'F -4 3 m'
_symmetry_Int_Tables_number 216
_symmetry_space_group_name_Hall 'F -4 2 3'
_cell_length_a 7.1571
_cell_length_b 7.1571
_cell_length_c 7.1571
_cell_angle_alpha 90.00
_cell_angle_beta 90.00
_cell_angle_gamma 90.00
loop_
_atom_site_label
_atom_site_type_symbol
_atom_site_fract_x
_atom_site_fract_y
_atom_site_fract_z
La1 La 0.0000 0.0000 0.0000
Ho1 Ho 0.0000 0.0000 0.5000
Zn1 Zn 0.2500 0.2500 0.2500
Rh1 Rh 0.2500 0.2500 0.7500
```

=====

No. 2
Computed, not measured: a relaxed structure of Pm4PrSc3 at the PBE-GGA level of DFT.

```
data_Pm4PrSc3
_chemical_formula_sum 'Pm8 Pr2 Sc6'
_symmetry_space_group_name_H-M 'C 1 2/m 1'
_symmetry_Int_Tables_number 12
_cell_length_a 27.1739
_cell_length_b 3.4604
_cell_length_c 5.7401
_cell_angle_alpha 90.00
_cell_angle_beta 94.01
_cell_angle_gamma 90.00
loop_
_symmetry_equiv_pos_as_xyz
'x,y,z'
'-x,-y,-z'
'-x,y,-z'
'x,-y,z'
'x+1/2,y+1/2,z'
'-x+1/2,-y+1/2,-z'
'-x+1/2,y+1/2,-z'
'x+1/2,-y+1/2,z'
loop_
_atom_site_label
_atom_site_type_symbol
_atom_site_fract_x
_atom_site_fract_y
_atom_site_fract_z
Pm1 Pm 0.1016 0.0000 0.0317
Pm2 Pm 0.1882 0.0000 0.5632
Pr1 Pr 0.0000 0.0000 0.5000
Sc1 Sc 0.0000 0.5000 0.0000
Sc2 Sc 0.2063 0.5000 0.0739
```

=====

No. 3
Computed, not measured: a relaxed structure of AsRu2 at the PBE-GGA level of DFT.

```
data_AsRu2
_chemical_formula_sum 'As2 Ru4'
_symmetry_space_group_name_H-M 'I 4/m m m'
_symmetry_Int_Tables_number 139
_symmetry_space_group_name_Hall '-I 4 2'
_cell_length_a 2.9629
_cell_length_b 2.9629
_cell_length_c 9.7359
_cell_angle_alpha 90.00
_cell_angle_beta 90.00
_cell_angle_gamma 90.00
loop_
_atom_site_label
_atom_site_type_symbol
_atom_site_fract_x
_atom_site_fract_y
_atom_site_fract_z
As1 As 0.0000 0.0000 0.0000
Ru1 Ru 0.0000 0.0000 0.3474
```

=====

No. 4
Computed, not measured: a relaxed structure of AcCe2Nb at the PBE-GGA level of DFT.

```
data_AcCe2Nb
_chemical_formula_sum 'Ac3 Ce6 Nb3'
_symmetry_space_group_name_H-M 'R -3 m'
_symmetry_Int_Tables_number 166
_symmetry_space_group_name_Hall '-R 3 2"'
_cell_length_a 3.3792
_cell_length_b 3.3792
_cell_length_c 34.7486
_cell_angle_alpha 90.00
_cell_angle_beta 90.00
_cell_angle_gamma 120.00
loop_
_atom_site_label
_atom_site_type_symbol
_atom_site_fract_x
_atom_site_fract_y
_atom_site_fract_z
Ac1 Ac 0.0000 0.0000 0.0000
Ce1 Ce 0.0000 0.0000 0.4223
Nb1 Nb 0.0000 0.0000 0.5000
```

=====

ΔE_f values (in kcal/mol of atoms) by entry order: -12.2, 6.4, 1.7, 14.2.
Total magnetization values (in μB per atom) by entry order: 0.000, 0.000, 0.000, 0.000.